Below is a relaxed RbLi2CoF8 crystal, with properties calculated at the PBE with a Hubbard U level.

Cell and atoms, written as POSCAR:
```
RbLi2CoF8
1.0
-4.602 -0.703 0.435
0.396 -3.782 -2.562
1.469 -4.700 6.096
Co F Rb Li
1 8 1 2
Direct
0.000 0.000 0.000 Co
0.500 0.649 0.584 F
0.823 0.189 0.161 F
0.820 0.216 0.826 F
0.177 0.811 0.839 F
0.180 0.784 0.174 F
0.709 0.735 0.001 F
0.291 0.265 0.999 F
0.500 0.351 0.416 F
0.000 0.000 0.500 Rb
0.493 0.488 0.176 Li
0.507 0.512 0.824 Li
```

Symmetry: No. 2
Energy: -4.201 eV/atom
V: 13.95 A^3/atom